Entry 1:
KNiI2 | GGA-PBE | optimized geometry

Values from the calculation:
The volume comes out at 544.3 Å³ per cell. The formation energy from raw total energies is -0.57 eV per atom. Its energy above the most stable polymorph in this dataset is 0.0 kJ/mol of atoms. The total energy is -49.08 eV/cell.

Cell: 8.098 8.098 8.300 Å, 90.00 90.00 90.00°
Space group I-42d (No. 122)
One atom of each set of equivalent atoms:
K1 0.000 0.000 0.000 (multiplicity 4)
Ni1 0.000 0.000 0.500 (multiplicity 4)
I1 0.153 0.250 0.625 (multiplicity 8)

---

Entry 2:
KNiI2 | GGA-PBE | optimized geometry

Values from the calculation:
The volume comes out at 434.2 Å³ per cell. The formation energy from raw total energies is -0.21 eV per atom. Its energy above the most stable polymorph in this dataset is 35.3 kJ/mol of atoms. The total energy is -32.43 eV/cell.

Cell: 4.1747 4.1747 28.7673 Å, 90.00 90.00 120.00°
Space group R-3m (No. 166, hexagonal axes)
One atom of each set of equivalent atoms:
K1 0.0000 0.0000 0.0000 (multiplicity 3)
Ni1 0.0000 0.0000 0.5000 (multiplicity 3)
I1 0.0000 0.0000 0.1158 (multiplicity 6)

---

Entry 3:
K2NiI | GGA-PBE | optimized geometry

Values from the calculation:
The volume comes out at 599.8 Å³ per cell. The formation energy from raw total energies is -0.07 eV per atom. The total energy is -39.24 eV/cell.

Cell: 8.434 8.434 8.434 Å, 90.00 90.00 90.00°
Space group Fm-3m (No. 225)
One atom of each set of equivalent atoms:
K1 0.250 0.250 0.250 (multiplicity 8)
Ni1 0.000 0.000 0.000 (multiplicity 4)
I1 0.000 0.000 0.500 (multiplicity 4)

---

Entry 4:
KNi3I | GGA-PBE | optimized geometry

Values from the calculation:
The volume comes out at 107.1 Å³ per cell. The formation energy from raw total energies is 1.91 eV per atom. Its energy above the most stable polymorph in this dataset is 112.0 kJ/mol of atoms. The total energy is -10.43 eV/cell.

Cell: 4.749 4.749 4.749 Å, 90.00 90.00 90.00°
Space group Pm-3m (No. 221)
One atom of each set of equivalent atoms:
K1 0.000 0.000 0.000 (multiplicity 1)
Ni1 0.000 0.000 0.500 (multiplicity 3)
I1 0.500 0.500 0.500 (multiplicity 1)

---

Entry 5:
K6Ni3I14 | GGA-PBE | optimized geometry

Values from the calculation:
The volume comes out at 1007.4 Å³ per cell. The formation energy from raw total energies is -0.75 eV per atom. The total energy is -62.79 eV/cell.

Cell: 12.4873 12.4873 7.4603 Å, 90.00 90.00 120.00°
Space group P3 (No. 143)
One atom of each set of equivalent atoms:
K1 0.0373 0.4697 0.0000 (multiplicity 3)
K2 0.2917 0.1975 0.5376 (multiplicity 3)
Ni1 0.0000 0.0000 0.1029 (multiplicity 1)
Ni2 0.3333 0.6667 0.5757 (multiplicity 1)
Ni3 0.6667 0.3333 0.7522 (multiplicity 1)
I1 0.0000 0.0000 0.7617 (multiplicity 1)
I2 0.0723 0.2147 0.2349 (multiplicity 3)
I3 0.2013 0.7486 0.7130 (multiplicity 3)
I4 0.3333 0.6667 0.2339 (multiplicity 1)
I5 0.4638 0.2590 0.9595 (multiplicity 3)
I6 0.5363 0.1316 0.5476 (multiplicity 3)

---

Q: Among the records above, which one has the lowest formation energy from raw total energies?
A: K6Ni3I14

---

Q: Which value of formation energy from raw total energies does entry 1 give?
A: -0.57 eV per atom

---

Q: Among the records above, which one has the highest formation energy from raw total energies?
A: KNi3I

---

Q: Number 2 is which compound?
A: KNiI2